1.
Below is NaPmNd4S8 after structural relaxation, with properties calculated at the PBE-GGA level.

abc: 8.3584 8.3584 8.3584
angles: 60.14 60.14 60.14
Atoms (fractional coordinates):
Na1 0.0000 0.0000 0.0000
Pm1 0.6290 0.6290 0.6290
Nd1 0.1129 0.6289 0.6289
Nd2 0.2496 0.2496 0.2496
Nd3 0.6289 0.1129 0.6289
Nd4 0.6289 0.6289 0.1129
S1 0.3830 0.3830 0.3830
S2 0.3841 0.3841 0.8499
S3 0.3841 0.8499 0.3841
S4 0.4072 0.8632 0.8632
S5 0.8499 0.3841 0.3841
S6 0.8632 0.4072 0.8632
S7 0.8632 0.8632 0.4072
S8 0.8643 0.8643 0.8643

crystal system: trigonal
D(E_F): 0.000 states/eV/atom
SG: R3m, No. 160
raw formation energy: -1.912 eV per atom

2.
Below is MgAlBr4 after structural relaxation, with properties calculated at the PBE-GGA level.

abc: 6.4668 6.4668 6.4668
angles: 60.00 60.00 60.00
Atoms (fractional coordinates):
Mg1 0.0000 0.0000 0.0000
Al1 0.7500 0.7500 0.7500
Br1 0.3749 0.3749 0.3749
Br2 0.3749 0.3749 0.8753
Br3 0.3749 0.8753 0.3749
Br4 0.8753 0.3749 0.3749

crystal system: cubic
D(E_F): 0.811 states/eV/atom
SG: F-43m, No. 216
raw formation energy: 0.365 eV per atom